(1)
Density functional theory data (PBE) for a relaxed structure of Co2ReOs.

Results
calculated formation energy: 0.18 eV/atom

Cell lengths 8.5811, 8.5811, 8.5811 Å; angles 17.83, 17.83, 17.83 degrees
Fractional positions:
Co: 0.2502 0.2502 0.2502
Co: 0.7498 0.7498 0.7498
Re: 0.5000 0.5000 0.5000
Os: 0.0000 0.0000 0.0000

(2)
Density functional theory data (PBE) for a relaxed structure of CoRe2Os.

Results
calculated formation energy: 0.11 eV/atom

Cell lengths 8.1071, 5.2195, 5.2195 Å; angles 30.16, 90.00, 90.00 degrees
Fractional positions:
Co: 0.0000 0.0000 0.0000
Co: 0.0000 0.2755 0.2755
Re: 0.2135 0.6238 0.6238
Re: 0.2610 0.8743 0.8743
Re: 0.7390 0.8743 0.8743
Re: 0.7865 0.6238 0.6238
Os: 0.5000 0.2317 0.2317
Os: 0.5000 0.5027 0.5027

Which formula does entry 1 have?
Co2ReOs

Which value of calculated formation energy does entry 2 give?
0.11 eV/atom

Which formula does entry 1 have?
Co2ReOs